[1]
Material: LaSbSeO2
Method: DFT, PBE
State: relaxed

Summary:
The density of states at the Fermi level is 0.000 states/eV/f.u. As for the space-group type: Cmcm, No. 63.

a = 6.674 Å, b = 6.674 Å, c = 5.515 Å
α = 90.00°, β = 90.00°, γ = 130.48°
Atoms (fractional coordinates):
1 La 0.124 0.876 0.750
2 La 0.876 0.124 0.250
3 Sb 0.416 0.584 0.750
4 Sb 0.584 0.416 0.250
5 Se 0.246 0.754 0.250
6 Se 0.754 0.246 0.750
7 O 0.266 0.266 0.000
8 O 0.266 0.266 0.500
9 O 0.734 0.734 0.000
10 O 0.734 0.734 0.500

[2]
Material: Tl2SbW
Method: DFT, PBE
State: relaxed

Summary:
The density of states at the Fermi level is 3.104 states/eV/f.u. For the excess energy over the best structure of this formula in the dataset, the calculation gives 0.729 eV/atom. As for the space-group type: Fm-3m, No. 225.

a = 7.337 Å, b = 7.337 Å, c = 7.337 Å
α = 90.00°, β = 90.00°, γ = 90.00°
Atoms (fractional coordinates):
1 Tl 0.250 0.250 0.250
2 Tl 0.250 0.250 0.750
3 Tl 0.250 0.750 0.250
4 Tl 0.250 0.750 0.750
5 Tl 0.750 0.250 0.250
6 Tl 0.750 0.250 0.750
7 Tl 0.750 0.750 0.250
8 Tl 0.750 0.750 0.750
9 Sb 0.000 0.000 0.000
10 Sb 0.000 0.500 0.500
11 Sb 0.500 0.000 0.500
12 Sb 0.500 0.500 0.000
13 W 0.000 0.000 0.500
14 W 0.000 0.500 0.000
15 W 0.500 0.000 0.000
16 W 0.500 0.500 0.500

[3]
Material: CaCd2NiTe
Method: DFT, PBE
State: relaxed

Summary:
The density of states at the Fermi level is 2.281 states/eV/f.u. As for the space-group type: P4/mmm, No. 123.

a = 4.942 Å, b = 4.942 Å, c = 5.299 Å
α = 90.00°, β = 90.00°, γ = 90.00°
Atoms (fractional coordinates):
1 Ca 0.000 0.000 0.000
2 Cd 0.000 0.500 0.500
3 Cd 0.500 0.000 0.500
4 Ni 0.500 0.500 0.500
5 Te 0.500 0.500 0.000

[4]
Material: Rb4Sn5Pt
Method: DFT, PBE
State: relaxed

Summary:
The density of states at the Fermi level is 3.786 states/eV/f.u. Its formation energy is -5.5 kcal/mol of atoms. As for the space-group type: I4mm, No. 107.

a = 8.440 Å, b = 8.440 Å, c = 8.440 Å
α = 98.89°, β = 98.89°, γ = 133.70°
Atoms (fractional coordinates):
1 Rb 0.000 0.296 0.296
2 Rb 0.000 0.704 0.704
3 Rb 0.296 0.000 0.296
4 Rb 0.704 0.000 0.704
5 Sn 0.199 0.199 0.000
6 Sn 0.382 0.382 0.719
7 Sn 0.382 0.663 0.000
8 Sn 0.663 0.382 0.000
9 Sn 0.663 0.663 0.281
10 Pt 0.791 0.791 0.000

[5]
Material: LiTbNd2S5
Method: DFT, PBE
State: relaxed

Summary:
As for the space-group type: Cmc2_1, No. 36.

a = 8.506 Å, b = 8.506 Å, c = 11.940 Å
α = 90.00°, β = 90.00°, γ = 152.86°
Atoms (fractional coordinates):
1 Li 0.014 0.986 0.500
2 Li 0.986 0.014 0.000
3 Tb 0.303 0.697 0.019
4 Tb 0.697 0.303 0.519
5 Nd 0.376 0.624 0.315
6 Nd 0.392 0.608 0.703
7 Nd 0.608 0.392 0.203
8 Nd 0.624 0.376 0.815
9 S 0.001 0.999 0.302
10 S 0.137 0.863 0.016
11 S 0.192 0.808 0.361
12 S 0.213 0.787 0.678
13 S 0.454 0.546 0.089
14 S 0.546 0.454 0.589
15 S 0.787 0.213 0.178
16 S 0.808 0.192 0.861
17 S 0.863 0.137 0.516
18 S 0.999 0.001 0.802

[6]
Material: Sr4LiNd3S8
Method: DFT, PBE
State: relaxed

Summary:
The density of states at the Fermi level is 4.543 states/eV/f.u. As for the space-group type: R-3m, No. 166.

a = 8.332 Å, b = 8.332 Å, c = 8.332 Å
α = 59.55°, β = 59.55°, γ = 59.55°
Atoms (fractional coordinates):
1 Sr 0.000 0.000 0.000
2 Sr 0.000 0.500 0.500
3 Sr 0.500 0.000 0.500
4 Sr 0.500 0.500 0.000
5 Li 0.500 0.500 0.500
6 Nd 0.000 0.000 0.500
7 Nd 0.000 0.500 0.000
8 Nd 0.500 0.000 0.000
9 S 0.246 0.745 0.745
10 S 0.247 0.247 0.247
11 S 0.255 0.255 0.754
12 S 0.255 0.754 0.255
13 S 0.745 0.246 0.745
14 S 0.745 0.745 0.246
15 S 0.753 0.753 0.753
16 S 0.754 0.255 0.255

[7]
Material: Tm4Tl2Hg
Method: DFT, PBE
State: relaxed

Summary:
The density of states at the Fermi level is 4.794 states/eV/f.u. For the excess energy over the best structure of this formula in the dataset, the calculation gives 0.059 eV/atom. Its formation energy is -3.9 kcal/mol of atoms. As for the space-group type: P2_1/m, No. 11.

a = 7.083 Å, b = 6.693 Å, c = 9.065 Å
α = 90.00°, β = 111.87°, γ = 90.00°
Atoms (fractional coordinates):
1 Tm 0.090 0.250 0.056
2 Tm 0.170 0.008 0.732
3 Tm 0.170 0.492 0.732
4 Tm 0.307 0.750 0.337
5 Tm 0.693 0.250 0.663
6 Tm 0.830 0.508 0.268
7 Tm 0.830 0.992 0.268
8 Tm 0.910 0.750 0.944
9 Tl 0.206 0.250 0.445
10 Tl 0.423 0.750 0.042
11 Tl 0.577 0.250 0.958
12 Tl 0.794 0.750 0.555
13 Hg 0.486 0.750 0.696
14 Hg 0.514 0.250 0.304

[8]
Material: DyNiH
Method: DFT, PBE
State: relaxed

Summary:
The density of states at the Fermi level is 1.795 states/eV/f.u. For the excess energy over the best structure of this formula in the dataset, the calculation gives 0.261 eV/atom. As for the space-group type: Pmc2_1, No. 26.

a = 2.947 Å, b = 7.918 Å, c = 7.573 Å
α = 90.00°, β = 90.00°, γ = 90.00°
Atoms (fractional coordinates):
1 Dy 0.000 0.026 0.000
2 Dy 0.000 0.365 0.296
3 Dy 0.000 0.635 0.796
4 Dy 0.000 0.974 0.500
5 Ni 0.000 0.292 0.641
6 Ni 0.000 0.349 0.954
7 Ni 0.000 0.651 0.454
8 Ni 0.000 0.708 0.141
9 H 0.500 0.091 0.262
10 H 0.500 0.234 0.537
11 H 0.500 0.766 0.037
12 H 0.500 0.909 0.762

[9]
Material: Cd2InRh
Method: DFT, PBE
State: relaxed

Summary:
The density of states at the Fermi level is 1.446 states/eV/f.u. Its formation energy is -2.1 kcal/mol of atoms. As for the space-group type: Pmm2, No. 25.

a = 3.342 Å, b = 3.828 Å, c = 6.075 Å
α = 90.00°, β = 90.00°, γ = 90.00°
Atoms (fractional coordinates):
1 Cd 0.000 0.000 0.000
2 Cd 0.500 0.500 0.251
3 In 0.000 0.000 0.538
4 Rh 0.500 0.500 0.746

[10]
Material: Sr4Tl
Method: DFT, PBE
State: relaxed

Summary:
The density of states at the Fermi level is 5.736 states/eV/f.u. For the excess energy over the best structure of this formula in the dataset, the calculation gives 0.074 eV/atom. Its formation energy is -1.2 kcal/mol of atoms. As for the space-group type: Pm-3m, No. 221.

a = 6.483 Å, b = 6.483 Å, c = 6.483 Å
α = 90.00°, β = 90.00°, γ = 90.00°
Atoms (fractional coordinates):
1 Sr 0.000 0.000 0.000
2 Sr 0.000 0.500 0.500
3 Sr 0.500 0.000 0.500
4 Sr 0.500 0.500 0.000
5 Tl 0.500 0.500 0.500

[11]
Material: LiMn3Cr
Method: DFT, PBE
State: relaxed

Summary:
The density of states at the Fermi level is 5.788 states/eV/f.u. For the excess energy over the best structure of this formula in the dataset, the calculation gives 0.000 eV/atom. Its formation energy is 20.5 kcal/mol of atoms. As for the space-group type: Pm-3m, No. 221.

a = 4.422 Å, b = 4.422 Å, c = 4.422 Å
α = 90.00°, β = 90.00°, γ = 90.00°
Atoms (fractional coordinates):
1 Li 0.000 0.000 0.000
2 Mn 0.000 0.500 0.500
3 Mn 0.500 0.000 0.500
4 Mn 0.500 0.500 0.000
5 Cr 0.500 0.500 0.500

[12]
Material: Ho3ReC3
Method: DFT, PBE
State: relaxed

Summary:
The density of states at the Fermi level is 3.323 states/eV/f.u. Its formation energy is -9.3 kcal/mol of atoms. As for the space-group type: Cmcm, No. 63.

a = 6.777 Å, b = 6.777 Å, c = 5.119 Å
α = 90.00°, β = 90.00°, γ = 100.34°
Atoms (fractional coordinates):
1 Ho 0.109 0.891 0.750
2 Ho 0.169 0.405 0.750
3 Ho 0.405 0.169 0.250
4 Ho 0.595 0.831 0.750
5 Ho 0.831 0.595 0.250
6 Ho 0.891 0.109 0.250
7 Re 0.309 0.691 0.250
8 Re 0.691 0.309 0.750
9 C 0.123 0.877 0.250
10 C 0.170 0.414 0.250
11 C 0.414 0.170 0.750
12 C 0.586 0.830 0.250
13 C 0.830 0.586 0.750
14 C 0.877 0.123 0.750

VASP energy across the listed records, respectively: -65.5; -67.7; -13.9; -32.3; -107.9; -88.0; -48.2; -53.8; -12.3; -9.4; -34.6; -113.3 eV/cell.